First-principles (PBE) data for crystalline KRe2Pb at its relaxed geometry, as listed in the Alexandria database.

## Properties
* V: 249.4 Å³ per cell
* energy: -5.9160 eV per atom
* size of the total moment: 0.000 μB/atom
* ρ: 12.356 g/cm³

a = 2.9215 Å, b = 2.9215 Å, c = 33.7460 Å
α = 90.00°, β = 90.00°, γ = 120.00°
Space group R-3m (No. 166, hexagonal axes)
One atom of each set of equivalent atoms:
K: 0.0000 0.0000 0.0000 (multiplicity 3)
Re: 0.0000 0.0000 0.2447 (multiplicity 6)
Pb: 0.0000 0.0000 0.5000 (multiplicity 3)

=====

First-principles (PBE) data for crystalline Ca2CrPb at its relaxed geometry, as listed in the Alexandria database.

## Properties
* V: 215.4 Å³ per cell
* energy: -4.2217 eV per atom
* size of the total moment: 1.022 μB/atom
* ρ: 5.232 g/cm³

a = 4.890 Å, b = 4.890 Å, c = 9.008 Å
α = 90.00°, β = 90.00°, γ = 90.00°
Space group I-4m2 (No. 119)
One atom of each set of equivalent atoms:
Ca: 0.000 0.000 0.000 (multiplicity 2)
Ca: 0.000 0.500 0.250 (multiplicity 2)
Cr: 0.000 0.500 0.750 (multiplicity 2)
Pb: 0.000 0.000 0.500 (multiplicity 2)

=====

First-principles (PBE) data for crystalline Ga2AgTe at its relaxed geometry, as listed in the Alexandria database.

## Properties
* V: 481.7 Å³ per cell
* energy: -2.9622 eV per atom
* size of the total moment: 0.000 μB/atom
* ρ: 5.169 g/cm³

a = 6.354 Å, b = 6.354 Å, c = 11.934 Å
α = 90.00°, β = 90.00°, γ = 90.00°
Space group I-42d (No. 122)
One atom of each set of equivalent atoms:
Ga: 0.219 0.250 0.125 (multiplicity 8)
Ag: 0.000 0.000 0.000 (multiplicity 4)
Te: 0.000 0.000 0.500 (multiplicity 4)